DFT (PBE-GGA) results for TmAlZn6Ga after structural relaxation.

```
TmAlZn6Ga
1.0
-2.7093 4.8732 6.7936
2.7093 -4.8732 6.7936
2.7093 4.8732 -6.7936
Tm Al Zn Ga
2 2 12 2
direct
0.4317 0.1817 0.2500 Tm
0.5683 0.8183 0.7500 Tm
0.0000 0.0000 0.5000 Al
0.0000 0.5000 0.0000 Al
0.1390 0.3985 0.2277 Zn
0.1390 0.9113 0.7405 Zn
0.1992 0.9492 0.2500 Zn
0.3293 0.0887 0.7277 Zn
0.3293 0.6015 0.2405 Zn
0.3393 0.5893 0.7500 Zn
0.6607 0.4107 0.2500 Zn
0.6707 0.3985 0.7595 Zn
0.6707 0.9113 0.2723 Zn
0.8008 0.0508 0.7500 Zn
0.8610 0.0887 0.2595 Zn
0.8610 0.6015 0.7723 Zn
0.0000 0.5000 0.5000 Ga
0.5000 0.5000 0.0000 Ga
```

Values from the calculation:
DOS(E_F), states/eV per atom: 0.44
Space-group type: Imma, No. 74
ρ, g/cm3: 6.1
DFT total energy, eV/atom: -1.95

---

DFT (PBE-GGA) results for TmAlZn2Ga after structural relaxation.

```
TmAlZn2Ga
1.0
2.0839 -5.5076 0.0000
2.0839 5.5076 0.0000
0.0000 0.0000 8.6348
Tm Al Zn Ga
2 2 4 2
direct
0.1961 0.8039 0.7500 Tm
0.8039 0.1961 0.2500 Tm
0.4837 0.5163 0.7500 Al
0.5163 0.4837 0.2500 Al
0.3446 0.6554 0.0179 Zn
0.3446 0.6554 0.4821 Zn
0.6554 0.3446 0.5179 Zn
0.6554 0.3446 0.9821 Zn
0.0000 0.0000 0.0000 Ga
0.0000 0.0000 0.5000 Ga
```

Values from the calculation:
DOS(E_F), states/eV per atom: 0.38
Space-group type: Cmcm, No. 63
ρ, g/cm3: 6.6
DFT total energy, eV/atom: -2.90

---

DFT (PBE-GGA) results for TmAlZnGa after structural relaxation.

```
TmAlZnGa
1.0
3.2919 0.0000 0.0000
0.0000 5.0164 0.0000
0.0000 0.0000 5.1278
Tm Al Zn Ga
1 1 1 1
direct
0.0000 0.0000 0.0000 Tm
0.5000 0.5000 0.5000 Al
0.5000 0.0000 0.5000 Zn
0.5000 0.5000 0.0000 Ga
```

Values from the calculation:
DOS(E_F), states/eV per atom: 0.43
Space-group type: Pmmm, No. 47
ρ, g/cm3: 6.5
DFT total energy, eV/atom: -3.17

---

DFT (PBE-GGA) results for Tm2AlZn4Ga3 after structural relaxation.

```
Tm2AlZn4Ga3
1.0
4.0700 0.0000 0.0000
0.0000 4.0700 0.0000
0.0000 0.0000 10.8847
Tm Al Zn Ga
2 1 4 3
direct
0.0000 0.5000 0.2474 Tm
0.5000 0.0000 0.7526 Tm
0.0000 0.0000 0.5000 Al
0.0000 0.0000 0.0000 Zn
0.0000 0.5000 0.6423 Zn
0.5000 0.0000 0.3577 Zn
0.5000 0.5000 0.0000 Zn
0.0000 0.5000 0.8610 Ga
0.5000 0.0000 0.1390 Ga
0.5000 0.5000 0.5000 Ga
```

Values from the calculation:
DOS(E_F), states/eV per atom: 0.28
Space-group type: P-4m2, No. 115
ρ, g/cm3: 7.7
DFT total energy, eV/atom: -3.06

---

Q: What is the formula in the first record?
A: TmAlZn6Ga

---

Q: What is the DOS(E_F) in the fourth record?
A: 0.28 states/eV per atom

---

Please write out number 2 again, unchanged.
DFT (PBE-GGA) results for TmAlZn2Ga after structural relaxation.

```
TmAlZn2Ga
1.0
2.0839 -5.5076 0.0000
2.0839 5.5076 0.0000
0.0000 0.0000 8.6348
Tm Al Zn Ga
2 2 4 2
direct
0.1961 0.8039 0.7500 Tm
0.8039 0.1961 0.2500 Tm
0.4837 0.5163 0.7500 Al
0.5163 0.4837 0.2500 Al
0.3446 0.6554 0.0179 Zn
0.3446 0.6554 0.4821 Zn
0.6554 0.3446 0.5179 Zn
0.6554 0.3446 0.9821 Zn
0.0000 0.0000 0.0000 Ga
0.0000 0.0000 0.5000 Ga
```

Values from the calculation:
DOS(E_F), states/eV per atom: 0.38
Space-group type: Cmcm, No. 63
ρ, g/cm3: 6.6
DFT total energy, eV/atom: -2.90

---

Q: Among the records above, which one has the highest DOS(E_F)?
A: TmAlZn6Ga